# Na2VNi3F12

A geometry-optimized Na2VNi3F12 structure (PBE+U, Alexandria via LeMat-Bulk).

## Properties
DFT total energy in eV/cell: -249.59
Calculated density in g/cm³: 3.120

Cell lengths 7.0810, 7.0810, 18.4202 Å; angles 90.00, 90.00, 120.00 degrees
Space group R-3m (No. 166, hexagonal axes)
Symmetry-distinct sites (fractional):
Na (0.0000, 0.0000, 0.0799) [6 per cell]
V (0.0000, 0.0000, 0.5000) [3 per cell]
Ni (0.0000, 0.5000, 0.0000) [9 per cell]
F (0.0485, 0.5243, 0.3630) [18 per cell]
F (0.0807, 0.5404, 0.1097) [18 per cell]